Entry from the Alexandria database: crystalline Tb2Ho5Ge4 at its relaxed geometry (GGA-PBE).

The structure in extended XYZ format:
```
11
Lattice="-1.3125 1.9215 -2.5605 2.1347 -4.6808 -4.6070 -10.3568 -7.1924 2.2491" Properties=species:S:1:pos:R:3 pbc="T T T"
Ge -10.3930 -6.5527 -1.9275
Ge -6.1401 -6.4047 -1.6589
Ge -3.3944 -3.5470 -3.2595
Ge 0.8584 -3.3990 -2.9908
Ho -8.1630 -7.3754 -3.6880
Ho -8.3509 -4.5187 -1.4479
Ho -1.1837 -5.4330 -3.4704
Ho -1.3715 -2.5763 -1.2303
Ho -0.6563 0.9608 -1.2802
Tb -4.6649 -4.0625 -0.6574
Tb -4.8697 -5.8892 -4.2609
```

As for the total energy: -4.952 eV per atom. As for the space-group type: C2/m. The formation energy comes out at -350 meV/atom. Its magnetic moment is 0.00 Bohr magnetons per cell.